Compound: LaTl2Pt
Source: Alexandria
Functional: PBE
Structure: optimized geometry

Structure (CIF):
```
data_LaTl2Pt
_cell_length_a 4.3512
_cell_length_b 4.3512
_cell_length_c 12.0864
_cell_angle_alpha 79.63
_cell_angle_beta 79.63
_cell_angle_gamma 90.00
_space_group_name_H-M_alt 'P 1'
_space_group_IT_number 1
_space_group_name_Hall 'P 1'
loop_
_atom_site_label
_atom_site_fract_x
_atom_site_fract_y
_atom_site_fract_z
Tl1 0.6426 0.1250 0.2500
Tl2 0.1074 0.6250 0.2500
Tl3 0.3750 0.3574 0.7500
Tl4 0.8750 0.8926 0.7500
Pt1 0.0000 0.0000 0.0000
Pt2 0.7500 0.2500 0.5000
La1 0.5000 0.5000 0.0000
La2 0.2500 0.7500 0.5000
```

Properties
Formation energy from the elements (eV per atom): -0.35
Final energy (eV per atom): -4.2781
Fermi-level density of states (states/eV/cell): 3.45